Entry from the Alexandria database: a relaxed structure of LiSi2Cl (PBE-GGA).

Structure (CIF):
```
data_LiSi2Cl
_chemical_formula_sum 'Li2 Si4 Cl2'
_cell_length_a 3.5350
_cell_length_b 3.5350
_cell_length_c 12.9190
_cell_angle_alpha 94.22
_cell_angle_beta 95.65
_cell_angle_gamma 90.11
_symmetry_space_group_name_H-M 'P 1'
_symmetry_Int_Tables_number 1
_symmetry_space_group_name_Hall 'P 1'
loop_
_atom_site_label
_atom_site_type_symbol
_atom_site_fract_x
_atom_site_fract_y
_atom_site_fract_z
Li1 Li 0.0000 0.0000 0.0000
Li2 Li 0.4374 0.4541 0.8264
Si1 Si 0.1280 0.1284 0.5004
Si2 Si 0.3158 0.3315 0.3272
Si3 Si 0.6282 0.6286 0.5007
Si4 Si 0.8156 0.8313 0.3268
Cl1 Cl 0.5074 0.5059 0.0204
Cl2 Cl 0.9300 0.9486 0.8061
```


Entry from the Alexandria database: a relaxed structure of GeIrSe2N (PBE-GGA).

Structure (CIF):
```
data_GeIrSe2N
_chemical_formula_sum 'Ge1 Ir1 Se2 N1'
_cell_length_a 5.0840
_cell_length_b 5.0840
_cell_length_c 3.3935
_cell_angle_alpha 90.00
_cell_angle_beta 90.00
_cell_angle_gamma 90.00
_symmetry_space_group_name_H-M 'P 4/m m m'
_symmetry_Int_Tables_number 123
_symmetry_space_group_name_Hall '-P 4 2'
loop_
_atom_site_label
_atom_site_type_symbol
_atom_site_fract_x
_atom_site_fract_y
_atom_site_fract_z
Ge1 Ge 0.0000 0.0000 0.0000
Ir1 Ir 0.5000 0.5000 0.5000
Se1 Se 0.0000 0.5000 0.0000
N1 N 0.0000 0.0000 0.5000
```


Entry from the Alexandria database: a relaxed structure of Rb2YAlF6 (PBE-GGA).

Structure (CIF):
```
data_Rb2YAlF6
_chemical_formula_sum 'Rb4 Y2 Al2 F12'
_cell_length_a 6.5956
_cell_length_b 6.5956
_cell_length_c 9.3533
_cell_angle_alpha 90.00
_cell_angle_beta 90.00
_cell_angle_gamma 90.00
_symmetry_space_group_name_H-M 'I 4/m m m'
_symmetry_Int_Tables_number 139
_symmetry_space_group_name_Hall '-I 4 2'
loop_
_atom_site_label
_atom_site_type_symbol
_atom_site_fract_x
_atom_site_fract_y
_atom_site_fract_z
Rb1 Rb 0.0000 0.5000 0.2500
Y1 Y 0.0000 0.0000 0.0000
Al1 Al 0.0000 0.0000 0.5000
F1 F 0.0000 0.0000 0.2342
F2 F 0.2349 0.2349 0.0000
```


What are the energy relative to the elements, uncorrected values for these records? In order: -628; 1144; -2968 meV per atom.
What are the density values for these records? In order: 2.04; 8.27; 3.27 g/cm3.
What are the total magnetization values for these records? In order: 0.0000; 0.0000; 0.0000 μB/atom.